(1)
The following is a PBE calculation of an optimized crystal structure of AsP3H, from Alexandria via LeMat-Bulk.

DFT total energy in eV per formula unit: -16.38
Energy relative to the lowest polymorph listed for this composition in meV/atom: 675
Mass density in g/cm³: 2.573

abc: 4.776 4.776 4.776
angles: 90.00 90.00 90.00
Element x y z (fractional)
As: 0.000 0.000 0.000
P: 0.000 0.000 0.500
P: 0.000 0.500 0.000
P: 0.500 0.000 0.000
H: 0.500 0.500 0.500

=====

(2)
The following is a PBE calculation of an optimized crystal structure of CsSn2Ge2, from Alexandria via LeMat-Bulk.

Energy of formation in meV/atom: 4.7
DFT total energy in eV per formula unit: -18.07
Energy relative to the lowest polymorph listed for this composition in meV/atom: 84
Mass density in g/cm³: 5.175

abc: 9.244 9.244 3.872
angles: 90.00 90.00 90.00
Element x y z (fractional)
Cs: 0.000 0.000 0.000
Cs: 0.500 0.500 0.000
Sn: 0.127 0.373 0.500
Sn: 0.373 0.873 0.500
Sn: 0.627 0.127 0.500
Sn: 0.873 0.627 0.500
Ge: 0.108 0.608 0.000
Ge: 0.392 0.108 0.000
Ge: 0.608 0.892 0.000
Ge: 0.892 0.392 0.000

=====

(3)
The following is a PBE calculation of an optimized crystal structure of CsKMn3, from Alexandria via LeMat-Bulk.

Energy of formation in meV/atom: 1914.7
DFT total energy in eV per formula unit: -19.89
Mass density in g/cm³: 2.157

abc: 6.377 6.377 6.377
angles: 90.00 90.00 90.00
Element x y z (fractional)
Cs: 0.000 0.000 0.000
K: 0.500 0.500 0.500
Mn: 0.000 0.000 0.500
Mn: 0.000 0.500 0.000
Mn: 0.500 0.000 0.000

=====

(4)
The following is a PBE calculation of an optimized crystal structure of PrHo2ErS6, from Alexandria via LeMat-Bulk.

Formation energy without anion corrections in eV/atom: -2.04
DFT total energy in eV per formula unit: -63.70
Mass density in g/cm³: 5.314

abc: 7.369 7.369 7.369
angles: 56.41 56.41 56.41
Element x y z (fractional)
Pr: 0.000 0.000 0.000
Ho: 0.290 0.290 0.290
Ho: 0.795 0.795 0.795
Er: 0.492 0.492 0.492
S: 0.087 0.672 0.416
S: 0.195 0.584 0.892
S: 0.416 0.087 0.672
S: 0.584 0.892 0.195
S: 0.672 0.416 0.087
S: 0.892 0.195 0.584

=====

(5)
The following is a PBE calculation of an optimized crystal structure of SrNbV3, from Alexandria via LeMat-Bulk.

Energy of formation in meV/atom: 1133.2
DFT total energy in eV per formula unit: -33.44
Energy relative to the lowest polymorph listed for this composition in meV/atom: 0
Mass density in g/cm³: 4.775

abc: 4.876 4.876 4.876
angles: 90.00 90.00 90.00
Element x y z (fractional)
Sr: 0.000 0.000 0.000
Nb: 0.500 0.500 0.500
V: 0.000 0.500 0.500
V: 0.500 0.000 0.500
V: 0.500 0.500 0.000

=====

(6)
The following is a PBE calculation of an optimized crystal structure of Ac2TmPd, from Alexandria via LeMat-Bulk.

Energy of formation in meV/atom: 180.7
DFT total energy in eV per formula unit: -17.16
Energy relative to the lowest polymorph listed for this composition in meV/atom: 464
Mass density in g/cm³: 8.628

abc: 11.800 11.800 11.800
angles: 18.23 18.23 18.23
Element x y z (fractional)
Ac: 0.080 0.080 0.080
Ac: 0.920 0.920 0.920
Tm: 0.500 0.500 0.500
Pd: 0.000 0.000 0.000

=====

(7)
The following is a PBE calculation of an optimized crystal structure of PbWS2Cl, from Alexandria via LeMat-Bulk.

Formation energy without anion corrections in eV/atom: 1.30
DFT total energy in eV per formula unit: -20.25
Energy relative to the lowest polymorph listed for this composition in meV/atom: 1335
Mass density in g/cm³: 5.922

abc: 5.213 5.213 5.062
angles: 90.00 90.00 90.00
Element x y z (fractional)
Pb: 0.000 0.000 0.000
W: 0.500 0.500 0.500
S: 0.000 0.500 0.000
S: 0.500 0.000 0.000
Cl: 0.000 0.000 0.500